Li2ScAg at its PBEsol-relaxed geometry, computed with meta-GGA SCAN.

Cell: 3.337 3.337 6.698 Å, 90.00 90.00 90.00°
Last column: magnetic moment on the atom in μB.
Fractional positions:
Sc 0.500 0.500 0.532  0.06
Ag 0.000 0.000 0.771  0.01
Li 0.500 0.500 0.986  0.01
Li 0.000 0.000 0.211  0.01

Output
D(E_F), states/eV/cell: 2.2
E above lowest polymorph, meV/atom: 0
Theoretical density, g/cm3: 3.7


LiSc2Ag2 at its PBEsol-relaxed geometry, computed with meta-GGA SCAN.

Cell: 3.322 7.791 7.791 Å, 90.00 90.00 90.00°
Fractional positions:
Sc 0.500 0.162 0.662
Sc 0.500 0.662 0.838
Sc 0.500 0.838 0.338
Sc 0.500 0.338 0.162
Ag 0.000 0.367 0.867
Ag 0.000 0.867 0.633
Ag 0.000 0.633 0.133
Ag 0.000 0.133 0.367
Li 0.000 0.000 0.000
Li 0.000 0.500 0.500

Output
D(E_F), states/eV/cell: 7.7
Theoretical density, g/cm3: 5.1
DFT total energy, eV per atom: -18.939


Li2ScAg at its PBEsol-relaxed geometry, computed with meta-GGA SCAN.

Cell: 2.995 2.995 9.703 Å, 81.12 81.12 60.00°
Fractional positions:
Ag 0.000 0.000 0.000
Li 0.259 0.259 0.222
Li 0.741 0.741 0.778
Sc 0.500 0.500 0.500

Output
D(E_F), states/eV/cell: 2.6
E above lowest polymorph, meV/atom: 171
Theoretical density, g/cm3: 3.7


LiScAg4 at its PBEsol-relaxed geometry, computed with meta-GGA SCAN.

Cell: 5.394 5.394 5.394 Å, 60.00 60.00 60.00°
Fractional positions:
Ag 0.375 0.375 0.375
Ag 0.375 0.375 0.874
Ag 0.874 0.375 0.375
Ag 0.375 0.874 0.375
Li 0.750 0.750 0.750
Sc 0.000 0.000 0.000

Output
D(E_F), states/eV/cell: 4.2
Theoretical density, g/cm3: 7.2
DFT total energy, eV per atom: -23.775


Li2ScAg at its PBEsol-relaxed geometry, computed with meta-GGA SCAN.

Cell: 3.122 4.812 5.377 Å, 106.47 106.88 90.00°
Fractional positions:
Sc 0.000 0.500 0.000
Ag 0.500 0.000 0.000
Li 0.227 0.217 0.455
Li 0.773 0.783 0.545

Output
D(E_F), states/eV/cell: 2.5
E above lowest polymorph, meV/atom: 23
Theoretical density, g/cm3: 3.8


LiAg2Se at its PBEsol-relaxed geometry, computed with meta-GGA SCAN.

Cell: 2.954 3.828 6.295 Å, 90.00 103.39 90.00°
Fractional positions:
Ag 0.825 0.000 0.022
Ag 0.440 0.500 0.255
Li 0.076 0.000 0.528
Se 0.659 0.500 0.695

Output
D(E_F), states/eV/cell: 0.7
Energy relative to the elements, uncorrected, eV/atom: -0.316
Theoretical density, g/cm3: 7.2


LiAg2Se at its PBEsol-relaxed geometry, computed with meta-GGA SCAN.

Cell: 3.886 3.886 9.915 Å, 101.30 101.30 90.00°
Fractional positions:
Se 0.250 0.750 0.500
Se 0.000 0.000 0.000
Ag 0.371 0.875 0.250
Ag 0.879 0.375 0.250
Ag 0.125 0.121 0.750
Ag 0.625 0.629 0.750
Li 0.750 0.250 0.500
Li 0.500 0.500 0.000

Output
D(E_F), states/eV/cell: 1.9
Energy relative to the elements, uncorrected, eV/atom: -0.264
Theoretical density, g/cm3: 7.0


Li2AgSe at its PBEsol-relaxed geometry, computed with meta-GGA SCAN.

Cell: 2.899 3.590 6.196 Å, 90.00 90.00 90.00°
Fractional positions:
Se 0.500 0.500 0.000
Ag 0.500 0.500 0.500
Li 0.000 0.000 0.774
Li 0.000 0.000 0.226

Output
D(E_F), states/eV/cell: 0.9
Energy relative to the elements, uncorrected, eV/atom: -0.571
Theoretical density, g/cm3: 5.2


Li2AgSe at its PBEsol-relaxed geometry, computed with meta-GGA SCAN.

Cell: 2.921 4.589 4.795 Å, 90.00 90.00 90.00°
Fractional positions:
Se 0.500 0.000 0.575
Ag 0.500 0.500 0.176
Li 0.000 0.000 0.072
Li 0.000 0.500 0.677

Output
D(E_F), states/eV/cell: 1.0
Energy relative to the elements, uncorrected, eV/atom: -0.541
Theoretical density, g/cm3: 5.2


LiAg2Se at its PBEsol-relaxed geometry, computed with meta-GGA SCAN.

Cell: 2.935 3.804 6.062 Å, 90.00 90.00 90.00°
Fractional positions:
Ag 0.000 0.000 0.017
Ag 0.500 0.500 0.258
Li 0.000 0.000 0.517
Se 0.500 0.500 0.708

Output
D(E_F), states/eV/cell: 0.9
Energy relative to the elements, uncorrected, eV/atom: -0.286
Theoretical density, g/cm3: 7.4


LiAg2Se at its PBEsol-relaxed geometry, computed with meta-GGA SCAN.

Cell: 3.937 3.937 5.171 Å, 112.37 112.37 90.00°
Fractional positions:
Ag 0.750 0.250 0.500
Ag 0.250 0.750 0.500
Li 0.000 0.000 0.000
Se 0.500 0.500 0.000

Output
D(E_F), states/eV/cell: 0.9
Energy relative to the elements, uncorrected, eV/atom: -0.318
Theoretical density, g/cm3: 7.4


Li3SiAg at its PBEsol-relaxed geometry, computed with meta-GGA SCAN.

Cell: 4.669 4.669 4.669 Å, 90.00 90.00 90.00°
Last column: magnetic moment on the atom in μB.
Fractional positions:
Si 0.000 0.000 0.000  0.09
Ag 0.500 0.500 0.500  -0.01
Li 0.000 0.500 0.000  0.01
Li 0.000 0.000 0.500  0.01
Li 0.500 0.000 0.000  0.01

Output
D(E_F), states/eV/cell: 2.8
Energy relative to the elements, uncorrected, eV/atom: 0.318
Theoretical density, g/cm3: 2.6


LiSi3Ag at its PBEsol-relaxed geometry, computed with meta-GGA SCAN.

Cell: 4.357 4.357 4.357 Å, 90.00 90.00 90.00°
Fractional positions:
Si 0.000 0.500 0.000
Si 0.000 0.000 0.500
Si 0.500 0.000 0.000
Ag 0.500 0.500 0.500
Li 0.000 0.000 0.000

Output
D(E_F), states/eV/cell: 1.7
Energy relative to the elements, uncorrected, eV/atom: 0.985
Theoretical density, g/cm3: 4.0


Li2AgSn2 at its PBEsol-relaxed geometry, computed with meta-GGA SCAN.

Cell: 4.551 4.551 10.419 Å, 102.61 102.61 90.00°
Fractional positions:
Sn 0.172 0.172 0.345
Sn 0.422 0.922 0.845
Sn 0.078 0.578 0.155
Sn 0.828 0.828 0.655
Ag 0.500 0.500 0.000
Ag 0.750 0.250 0.500
Li 0.576 0.076 0.151
Li 0.326 0.326 0.651
Li 0.674 0.674 0.349
Li 0.924 0.424 0.849

Output
D(E_F), states/eV/cell: 2.9
Theoretical density, g/cm3: 5.8
DFT total energy, eV per atom: -21.972


Li3AgSn at its PBEsol-relaxed geometry, computed with meta-GGA SCAN.

Cell: 4.709 4.709 4.709 Å, 90.00 90.00 90.00°
Fractional positions:
Sn 0.500 0.500 0.500
Ag 0.000 0.000 0.000
Li 0.000 0.500 0.000
Li 0.000 0.000 0.500
Li 0.500 0.000 0.000

Output
D(E_F), states/eV/cell: 1.7
E above lowest polymorph, meV/atom: 0
Theoretical density, g/cm3: 3.9